Record 1
## NaTl4F5 (PBE)

Data for a relaxed structure of NaTl4F5.

Unit cell a=7.226 b=7.226 c=7.226 alpha=95.61 beta=95.61 gamma=143.57
Sites, in units of the cell vectors:
Na1 0.000 0.000 0.000
Tl1 0.223 0.578 0.801
Tl2 0.422 0.223 0.645
Tl3 0.578 0.777 0.355
Tl4 0.777 0.422 0.199
F1 0.165 0.177 0.342
F2 0.177 0.835 0.012
F3 0.500 0.500 0.000
F4 0.823 0.165 0.988
F5 0.835 0.823 0.658

Summary:
As for the space-group type: I4/m, No. 87. The formation energy (no corrections) comes out at -1.93 eV/atom.

---

Record 2
## AlTlCo2H8 (PBE)

Data for a relaxed structure of AlTlCo2H8.

Unit cell a=7.098 b=7.098 c=7.098 alpha=35.85 beta=35.85 gamma=35.85
Sites, in units of the cell vectors:
Al1 0.000 0.000 0.000
Tl1 0.500 0.500 0.500
Co1 0.312 0.312 0.312
Co2 0.688 0.688 0.688
H1 0.093 0.630 0.410
H2 0.234 0.234 0.234
H3 0.370 0.590 0.907
H4 0.410 0.093 0.630
H5 0.590 0.907 0.370
H6 0.630 0.410 0.093
H7 0.766 0.766 0.766
H8 0.907 0.370 0.590

Summary:
As for the space-group type: R-3, No. 148.

---

Record 3
## PtAu2Cl (PBE)

Data for a relaxed structure of PtAu2Cl.

Unit cell a=5.233 b=5.233 c=2.899 alpha=90.00 beta=90.00 gamma=115.52
Sites, in units of the cell vectors:
Pt1 0.000 0.000 0.000
Au1 0.000 0.500 0.500
Au2 0.500 0.000 0.500
Cl1 0.500 0.500 0.000

Summary:
As for the space-group type: Cmmm, No. 65. The formation energy (no corrections) comes out at 0.38 eV/atom. The energy above the most stable polymorph in this dataset comes out at 0.2230 eV per atom.

---

Record 4
## NaPbAu3 (PBE)

Data for a relaxed structure of NaPbAu3.

Unit cell a=5.423 b=5.423 c=5.423 alpha=90.00 beta=90.00 gamma=90.00
Sites, in units of the cell vectors:
Na1 0.000 0.000 0.000
Pb1 0.500 0.500 0.500
Au1 0.000 0.500 0.500
Au2 0.500 0.000 0.500
Au3 0.500 0.500 0.000

Summary:
As for the space-group type: Pm-3m, No. 221. For the calculated formation energy, the calculation gives 18.74 kJ/mol of atoms. The energy above the most stable polymorph in this dataset comes out at 0.3461 eV per atom.

---

The records above yield calculated total energy values of -3.95; -3.87; -3.23; -2.78 eV per atom, respectively.